! Cr2HgCl (GGA-PBE, relaxed); values from VASP
&SYSTEM
  ibrav = 0, nat = 4, ntyp = 3
/
ATOMIC_SPECIES
Cr 52.00 Cr.upf
Hg 200.59 Hg.upf
Cl 35.45 Cl.upf
CELL_PARAMETERS angstrom
5.0606 0.0098 0.0000
1.0138 4.9581 0.0000
-3.0372 -2.4839 3.1962
ATOMIC_POSITIONS crystal
Cr 0.0000 0.0000 0.0000
Cr 0.5000 0.5000 0.0000
Hg 0.2500 0.7500 0.5000
Cl 0.7500 0.2500 0.5000
! space-group type	I4/mmm, No. 139
! E_form (uncorrected)	0.568	eV/atom
! E above lowest polymorph	0.4799	eV/atom
! D(E_F)	0.25	states/eV/atom

! Cr2HgCl (GGA-PBE, relaxed); values from VASP
&SYSTEM
  ibrav = 0, nat = 4, ntyp = 3
/
ATOMIC_SPECIES
Cr 52.00 Cr.upf
Hg 200.59 Hg.upf
Cl 35.45 Cl.upf
CELL_PARAMETERS angstrom
3.2198 0.0000 0.0000
0.0000 3.2198 0.0000
0.0000 0.0000 7.7507
ATOMIC_POSITIONS crystal
Cr 0.0000 0.0000 0.0368
Cr 0.5000 0.5000 0.1848
Hg 0.0000 0.0000 0.4194
Cl 0.5000 0.5000 0.8589
! space-group type	P4mm, No. 99
! E_form (uncorrected)	0.129	eV/atom
! E above lowest polymorph	0.0406	eV/atom
! D(E_F)	0.49	states/eV/atom

! Cr2HgCl (GGA-PBE, relaxed); values from VASP
&SYSTEM
  ibrav = 0, nat = 4, ntyp = 3
/
ATOMIC_SPECIES
Cr 52.00 Cr.upf
Hg 200.59 Hg.upf
Cl 35.45 Cl.upf
CELL_PARAMETERS angstrom
-6.6349 -0.7639 -4.6834
-4.2092 -1.8633 -6.7343
-5.5674 -3.9442 -4.4707
ATOMIC_POSITIONS crystal
Cr 0.0039 0.0039 0.0039
Cr 0.4961 0.4961 0.4961
Hg 0.2500 0.2500 0.2500
Cl 0.7500 0.7500 0.7500
! space-group type	R-3m, No. 166
! E_form (uncorrected)	0.321	eV/atom
! E above lowest polymorph	0.2324	eV/atom
! D(E_F)	0.99	states/eV/atom

! CrHgCl3 (GGA-PBE, relaxed); values from VASP
&SYSTEM
  ibrav = 0, nat = 10, ntyp = 3
/
ATOMIC_SPECIES
Cr 52.00 Cr.upf
Hg 200.59 Hg.upf
Cl 35.45 Cl.upf
CELL_PARAMETERS angstrom
5.7680 0.0000 1.8130
2.5991 5.1492 1.8130
-0.0752 -0.0463 10.3209
ATOMIC_POSITIONS crystal
Cr 0.1667 0.1667 0.5000
Cr 0.8333 0.8333 0.5001
Hg 0.3354 0.3354 0.9938
Hg 0.6646 0.6646 0.0063
Cl 0.0952 0.4539 0.6380
Cl 0.8129 0.0952 0.6380
Cl 0.5461 0.1871 0.3620
Cl 0.1871 0.9048 0.3620
Cl 0.9048 0.5461 0.3620
Cl 0.4539 0.8129 0.6380
! space-group type	R-3, No. 148
! E_form (uncorrected)	-0.876	eV/atom
! E above lowest polymorph	0.0000	eV/atom
! D(E_F)	0.18	states/eV/atom

! Cr2HgCl (GGA-PBE, relaxed); values from VASP
&SYSTEM
  ibrav = 0, nat = 4, ntyp = 3
/
ATOMIC_SPECIES
Cr 52.00 Cr.upf
Hg 200.59 Hg.upf
Cl 35.45 Cl.upf
CELL_PARAMETERS angstrom
-0.4299 4.3655 -3.3465
-3.8260 -1.4666 -3.6950
1.0224 1.2121 5.2847
ATOMIC_POSITIONS crystal
Cr 0.9789 0.9789 0.0000
Cr 0.5211 0.5211 0.0000
Hg 0.2500 0.7500 0.5000
Cl 0.7500 0.2500 0.5000
! space-group type	Immm, No. 71
! E_form (uncorrected)	0.421	eV/atom
! E above lowest polymorph	0.3327	eV/atom
! D(E_F)	0.65	states/eV/atom

! KCrHgCl6 (GGA-PBE, relaxed); values from VASP
&SYSTEM
  ibrav = 0, nat = 18, ntyp = 4
/
ATOMIC_SPECIES
K 39.10 K.upf
Cr 52.00 Cr.upf
Hg 200.59 Hg.upf
Cl 35.45 Cl.upf
CELL_PARAMETERS angstrom
-0.2354 -5.7440 -3.4681
5.3438 1.4012 3.8154
-5.8995 -6.0997 10.5030
ATOMIC_POSITIONS crystal
K 0.0000 0.0000 0.0000
K 0.0000 0.0000 0.5000
Cr 0.6667 0.3333 0.2500
Cr 0.3333 0.6667 0.7500
Hg 0.3333 0.6667 0.2500
Hg 0.6667 0.3333 0.7500
Cl 0.6493 0.6094 0.1471
Cl 0.9601 0.3507 0.1471
Cl 0.3507 0.9601 0.6471
Cl 0.0399 0.6493 0.8529
Cl 0.3906 0.3507 0.3529
Cl 0.9601 0.6094 0.3529
Cl 0.6094 0.9601 0.8529
Cl 0.6493 0.0399 0.3529
Cl 0.0399 0.3906 0.6471
Cl 0.3906 0.0399 0.1471
Cl 0.6094 0.6493 0.6471
Cl 0.3507 0.3906 0.8529
! space-group type	P-31c, No. 163
! E_form (uncorrected)	-1.132	eV/atom
! D(E_F)	0.00	states/eV/atom